An optimized crystal structure of CuPb2Se. Source: Alexandria via LeMat-Bulk, functional PBE.

The structure in CIF format:
```
data_CuPb2Se
_cell_length_a 6.471
_cell_length_b 6.471
_cell_length_c 7.761
_cell_angle_alpha 65.36
_cell_angle_beta 65.36
_cell_angle_gamma 90.00
_space_group_name_H-M_alt 'P 1'
_space_group_IT_number 1
loop_
_space_group_symop_operation_xyz
'x,y,z'
loop_
_atom_site_label
_atom_site_type_symbol
_atom_site_fract_x
_atom_site_fract_y
_atom_site_fract_z
Pb1 Pb 0.875 0.841 0.750
Pb2 Pb 0.591 0.125 0.250
Pb3 Pb 0.159 0.625 0.250
Pb4 Pb 0.375 0.409 0.750
Se1 Se 0.000 0.000 0.000
Se2 Se 0.750 0.250 0.500
Cu1 Cu 0.250 0.750 0.500
Cu2 Cu 0.500 0.500 0.000
```

Properties
Density in g/cm³: 7.0
SG: No. 122
Total magnetic moment in μB/f.u.: 0.000
VASP energy in eV/atom: -3.6552